1.
Sm2YHo4Mg | GGA-PBE | relaxed

Summary:
**DFT total energy**: -4.447 eV per atom
**Space group**: P4/mmm

a = 4.967 Å, b = 4.967 Å, c = 10.057 Å
α = 90.00°, β = 90.00°, γ = 90.00°
Fractional positions:
Sm (0.000, 0.000, 0.000)
Sm (0.500, 0.500, 0.500)
Y (0.000, 0.000, 0.500)
Ho (0.000, 0.500, 0.248)
Ho (0.000, 0.500, 0.752)
Ho (0.500, 0.000, 0.248)
Ho (0.500, 0.000, 0.752)
Mg (0.500, 0.500, 0.000)

2.
Sm2Y2HoMg5 | GGA-PBE | relaxed

Summary:
**DFT total energy**: -3.407 eV per atom
**Space group**: P4/mbm

a = 10.637 Å, b = 10.637 Å, c = 5.085 Å
α = 90.00°, β = 90.00°, γ = 90.00°
Fractional positions:
Sm (0.121, 0.379, 0.000)
Sm (0.379, 0.879, 0.000)
Sm (0.621, 0.121, 0.000)
Sm (0.879, 0.621, 0.000)
Y (0.177, 0.677, 0.000)
Y (0.323, 0.177, 0.000)
Y (0.677, 0.823, 0.000)
Y (0.823, 0.323, 0.000)
Ho (0.000, 0.000, 0.000)
Ho (0.500, 0.500, 0.000)
Mg (0.000, 0.500, 0.500)
Mg (0.068, 0.195, 0.500)
Mg (0.195, 0.932, 0.500)
Mg (0.305, 0.432, 0.500)
Mg (0.432, 0.695, 0.500)
Mg (0.500, 0.000, 0.500)
Mg (0.568, 0.305, 0.500)
Mg (0.695, 0.568, 0.500)
Mg (0.805, 0.068, 0.500)
Mg (0.932, 0.805, 0.500)

3.
Sm3Y2Ho6Mg | GGA-PBE | relaxed

Summary:
**DFT total energy**: -4.648 eV per atom
**Space group**: C2/m

a = 6.138 Å, b = 6.138 Å, c = 11.712 Å
α = 95.05°, β = 95.05°, γ = 120.04°
Fractional positions:
Sm (0.000, 0.000, 0.000)
Sm (0.334, 0.666, 0.000)
Sm (0.666, 0.334, 0.000)
Y (0.166, 0.834, 0.500)
Y (0.834, 0.166, 0.500)
Ho (0.086, 0.419, 0.253)
Ho (0.249, 0.249, 0.748)
Ho (0.419, 0.086, 0.253)
Ho (0.581, 0.914, 0.747)
Ho (0.751, 0.751, 0.252)
Ho (0.914, 0.581, 0.747)
Mg (0.500, 0.500, 0.500)

4.
Sm2Y6Ho3Mg | GGA-PBE | relaxed

Summary:
**DFT total energy**: -5.269 eV per atom
**Space group**: C2/m

a = 6.144 Å, b = 6.144 Å, c = 11.757 Å
α = 95.03°, β = 95.03°, γ = 120.04°
Fractional positions:
Sm (0.166, 0.834, 0.000)
Sm (0.834, 0.166, 0.000)
Y (0.086, 0.417, 0.750)
Y (0.251, 0.251, 0.251)
Y (0.417, 0.086, 0.750)
Y (0.583, 0.914, 0.250)
Y (0.749, 0.749, 0.749)
Y (0.914, 0.583, 0.250)
Ho (0.000, 0.000, 0.500)
Ho (0.334, 0.666, 0.500)
Ho (0.666, 0.334, 0.500)
Mg (0.500, 0.500, 0.000)

5.
Sm3Y6Ho2Mg | GGA-PBE | relaxed

Summary:
**DFT total energy**: -5.275 eV per atom
**Space group**: C2/m

a = 6.176 Å, b = 6.176 Å, c = 11.745 Å
α = 95.06°, β = 95.06°, γ = 120.02°
Fractional positions:
Sm (0.000, 0.000, 0.000)
Sm (0.334, 0.666, 0.000)
Sm (0.666, 0.334, 0.000)
Y (0.087, 0.419, 0.255)
Y (0.249, 0.249, 0.746)
Y (0.419, 0.087, 0.255)
Y (0.581, 0.913, 0.745)
Y (0.751, 0.751, 0.254)
Y (0.913, 0.581, 0.745)
Ho (0.166, 0.834, 0.500)
Ho (0.834, 0.166, 0.500)
Mg (0.500, 0.500, 0.500)

6.
SmY4Ho2Mg | GGA-PBE | relaxed

Summary:
**DFT total energy**: -5.145 eV per atom
**Space group**: P4/mmm

a = 4.977 Å, b = 4.977 Å, c = 10.041 Å
α = 90.00°, β = 90.00°, γ = 90.00°
Fractional positions:
Sm (0.000, 0.000, 0.000)
Y (0.000, 0.500, 0.254)
Y (0.000, 0.500, 0.746)
Y (0.500, 0.000, 0.254)
Y (0.500, 0.000, 0.746)
Ho (0.000, 0.000, 0.500)
Ho (0.500, 0.500, 0.000)
Mg (0.500, 0.500, 0.500)

7.
SmYHoMg | GGA-PBE | relaxed

Summary:
**Polymorph energy (0 for the lowest one)**: 0 meV per atom
**Space group**: P4mm

a = 3.632 Å, b = 3.632 Å, c = 9.126 Å
α = 90.00°, β = 90.00°, γ = 90.00°
Fractional positions:
Sm (0.000, 0.000, 0.000)
Y (0.500, 0.500, 0.726)
Ho (0.500, 0.500, 0.268)
Mg (0.000, 0.000, 0.496)

8.
Sm4YHo2Mg | GGA-PBE | relaxed

Summary:
**DFT total energy**: -4.499 eV per atom
**Space group**: P4/mmm

a = 5.036 Å, b = 5.036 Å, c = 9.956 Å
α = 90.00°, β = 90.00°, γ = 90.00°
Fractional positions:
Sm (0.000, 0.500, 0.246)
Sm (0.000, 0.500, 0.754)
Sm (0.500, 0.000, 0.246)
Sm (0.500, 0.000, 0.754)
Y (0.000, 0.000, 0.500)
Ho (0.000, 0.000, 0.000)
Ho (0.500, 0.500, 0.500)
Mg (0.500, 0.500, 0.000)